Here is an optimized crystal structure of Ce2SmAl from Alexandria via LeMat-Bulk. Energies are from GGA-PBE.

## Properties
Formation energy ... -0.057 eV per atom
Magnetization ... 1.108 μB per cell
Energy relative to the lowest polymorph listed for this composition ... 2.71 kcal/mol of atoms

Cell lengths 3.9501, 3.9501, 7.2323 Å; angles 90.00, 90.00, 90.00 degrees
Closest atoms and distances in Å follow each position.
Space group P4/mmm (No. 123)
Unique sites:
Ce1 0.0000 0.0000 0.1940 [2 per cell]  1 Ce 2.81, 4 Al 3.13
Sm1 0.5000 0.5000 0.5000 [1 per cell]  8 Ce 3.56, 2 Al 3.62, 4 Sm 3.95
Al1 0.5000 0.5000 0.0000 [1 per cell]  8 Ce 3.13